Record 1
# HgSbAu2

HgSbAu2 after structural relaxation (PBEsol, Alexandria).

Geometry as CIF:
```
data_HgSbAu2
_chemical_formula_sum 'Hg2 Sb2 Au4'
_symmetry_space_group_name_H-M 'I 4/m m m'
_symmetry_Int_Tables_number 139
_symmetry_space_group_name_Hall '-I 4 2'
_cell_length_a 4.3792
_cell_length_b 4.3792
_cell_length_c 8.3737
_cell_angle_alpha 90.00
_cell_angle_beta 90.00
_cell_angle_gamma 90.00
loop_
_atom_site_label
_atom_site_type_symbol
_atom_site_fract_x
_atom_site_fract_y
_atom_site_fract_z
Hg1 Hg 0.0000 0.0000 0.0000
Sb1 Sb 0.0000 0.0000 0.5000
Au1 Au 0.0000 0.5000 0.2500
```

Results
* ΔE to the lowest computed polymorph: 88 meV/atom
* magnetic moment: 0.00 μB per formula unit

---

Record 2
# K2CaMn

K2CaMn after structural relaxation (PBEsol, Alexandria).

Geometry as CIF:
```
data_K2CaMn
_chemical_formula_sum 'K4 Ca2 Mn2'
_symmetry_space_group_name_H-M 'I 4/m m m'
_symmetry_Int_Tables_number 139
_symmetry_space_group_name_Hall '-I 4 2'
_cell_length_a 4.9856
_cell_length_b 4.9856
_cell_length_c 12.6583
_cell_angle_alpha 90.00
_cell_angle_beta 90.00
_cell_angle_gamma 90.00
loop_
_atom_site_label
_atom_site_type_symbol
_atom_site_fract_x
_atom_site_fract_y
_atom_site_fract_z
K1 K 0.0000 0.5000 0.2500
Ca1 Ca 0.0000 0.0000 0.0000
Mn1 Mn 0.0000 0.0000 0.5000
```

Results
* ΔE to the lowest computed polymorph: 0 meV/atom
* magnetic moment: 4.49 μB per formula unit
* energy of formation from the pure elements: 0.765 eV per atom

---

Record 3
# Ba2ReW

Ba2ReW after structural relaxation (PBEsol, Alexandria).

Geometry as CIF:
```
data_Ba2ReW
_chemical_formula_sum 'Ba2 Re1 W1'
_symmetry_space_group_name_H-M 'P 4 m m'
_symmetry_Int_Tables_number 99
_cell_length_a 3.3141
_cell_length_b 3.3141
_cell_length_c 10.0222
_cell_angle_alpha 90.00
_cell_angle_beta 90.00
_cell_angle_gamma 90.00
loop_
_symmetry_equiv_pos_as_xyz
'x,y,z'
'-y,x,z'
'-x,-y,z'
'y,-x,z'
'-x,y,z'
'y,x,z'
'x,-y,z'
'-y,-x,z'
loop_
_atom_site_label
_atom_site_type_symbol
_atom_site_fract_x
_atom_site_fract_y
_atom_site_fract_z
Ba1 Ba 0.0000 0.0000 0.0000
Ba2 Ba 0.5000 0.5000 0.3864
Re1 Re 0.0000 0.0000 0.6332
W1 W 0.5000 0.5000 0.7435
```

Results
* magnetic moment: 0.06 μB per formula unit
* energy of formation from the pure elements: 0.694 eV per atom

---

Record 4
# SiAg2Ru

SiAg2Ru after structural relaxation (PBEsol, Alexandria).

Geometry as CIF:
```
data_SiAg2Ru
_chemical_formula_sum 'Si2 Ag4 Ru2'
_symmetry_space_group_name_H-M 'C m m m'
_symmetry_Int_Tables_number 65
_symmetry_space_group_name_Hall '-C 2 2'
_cell_length_a 2.7719
_cell_length_b 4.7046
_cell_length_c 9.4075
_cell_angle_alpha 90.00
_cell_angle_beta 90.00
_cell_angle_gamma 90.00
loop_
_atom_site_label
_atom_site_type_symbol
_atom_site_fract_x
_atom_site_fract_y
_atom_site_fract_z
Si1 Si 0.0000 0.0000 0.0000
Ag1 Ag 0.0000 0.5000 0.2466
Ru1 Ru 0.0000 0.0000 0.5000
```

Results
* magnetic moment: 0.75 μB per formula unit
* E: -41.3 eV per cell